[1]
Li3Co2Si2O8: relaxed, GGA-PBEsol.

Cell and atoms, written as CIF:
```
data_Li3Co2Si2O8
_chemical_formula_sum 'Li3 Co2 Si2 O8'
_cell_length_a 4.948
_cell_length_b 5.238
_cell_length_c 6.338
_cell_angle_alpha 89.44
_cell_angle_beta 89.95
_cell_angle_gamma 89.63
_space_group_name_H-M_alt 'P 1'
_space_group_IT_number 1
loop_
_space_group_symop_operation_xyz
'x,y,z'
loop_
_atom_site_label
_atom_site_type_symbol
_atom_site_fract_x
_atom_site_fract_y
_atom_site_fract_z
_atom_site_occupancy
Li1 Li 0.000 0.000 0.000 1
Li2 Li 0.005 0.516 0.746 1
Li3 Li 0.501 0.350 0.496 1
Co1 Co 0.502 0.345 0.997 1
Co2 Co 0.993 0.003 0.483 1
Si1 Si 0.498 0.856 0.745 1
Si2 Si 0.994 0.498 0.247 1
O1 O 0.069 0.801 0.251 1
O2 O 0.107 0.355 0.466 1
O3 O 0.117 0.367 0.030 1
O4 O 0.164 0.865 0.735 1
O5 O 0.600 0.554 0.756 1
O6 O 0.606 0.007 0.954 1
O7 O 0.620 0.001 0.537 1
O8 O 0.668 0.452 0.242 1
```

For the density of states at the Fermi level, the calculation gives 12.3 states/eV per cell. The formation energy from raw total energies comes out at -1.98 eV/atom.

[2]
HfCrSnSb2: relaxed, GGA-PBEsol.

Cell and atoms, written as CIF:
```
data_HfCrSnSb2
_chemical_formula_sum 'Hf1 Cr1 Sn1 Sb2'
_cell_length_a 5.416
_cell_length_b 5.416
_cell_length_c 4.862
_cell_angle_alpha 90.00
_cell_angle_beta 90.00
_cell_angle_gamma 90.00
_space_group_name_H-M_alt 'P 4/m m m'
_space_group_IT_number 123
_space_group_name_Hall '-P 4 2'
loop_
_atom_site_label
_atom_site_type_symbol
_atom_site_fract_x
_atom_site_fract_y
_atom_site_fract_z
_atom_site_occupancy
Hf1 Hf 0.000 0.000 0.000 1
Cr1 Cr 0.000 0.000 0.500 1
Sn1 Sn 0.500 0.500 0.500 1
Sb1 Sb 0.000 0.500 0.000 1
```

For the density of states at the Fermi level, the calculation gives 4.1 states/eV per cell. The formation energy from raw total energies comes out at 0.83 eV/atom.

[3]
GaGeRu2I: relaxed, GGA-PBEsol.

Cell and atoms, written as CIF:
```
data_GaGeRu2I
_chemical_formula_sum 'Ga1 Ge1 Ru2 I1'
_cell_length_a 4.781
_cell_length_b 4.781
_cell_length_c 5.345
_cell_angle_alpha 90.00
_cell_angle_beta 90.00
_cell_angle_gamma 90.00
_space_group_name_H-M_alt 'P 4/m m m'
_space_group_IT_number 123
_space_group_name_Hall '-P 4 2'
loop_
_atom_site_label
_atom_site_type_symbol
_atom_site_fract_x
_atom_site_fract_y
_atom_site_fract_z
_atom_site_occupancy
Ga1 Ga 0.000 0.000 0.000 1
Ge1 Ge 0.500 0.500 0.000 1
Ru1 Ru 0.000 0.500 0.500 1
I1 I 0.500 0.500 0.500 1
```

For the density of states at the Fermi level, the calculation gives 7.6 states/eV per cell. The formation energy from raw total energies comes out at 1.76 eV/atom.

[4]
MnSiAs2: relaxed, GGA-PBEsol.

Cell and atoms, written as CIF:
```
data_MnSiAs2
_chemical_formula_sum 'Mn3 Si3 As6'
_cell_length_a 2.8495
_cell_length_b 2.8495
_cell_length_c 26.3981
_cell_angle_alpha 90.00
_cell_angle_beta 90.00
_cell_angle_gamma 120.00
_space_group_name_H-M_alt 'R 3 m'
_space_group_IT_number 160
_space_group_name_Hall 'R 3 -2"'
loop_
_atom_site_label
_atom_site_type_symbol
_atom_site_fract_x
_atom_site_fract_y
_atom_site_fract_z
_atom_site_occupancy
Mn1 Mn 0.0000 0.0000 0.0000 1
Si1 Si 0.0000 0.0000 0.2696 1
As1 As 0.0000 0.0000 0.5203 1
As2 As 0.0000 0.0000 0.7325 1
```

For the density of states at the Fermi level, the calculation gives 6.6 states/eV per cell. The formation energy from raw total energies comes out at 0.03 eV/atom.

[5]
NiHg4: relaxed, GGA-PBEsol.

Cell and atoms, written as CIF:
```
data_NiHg4
_chemical_formula_sum 'Ni2 Hg8'
_cell_length_a 6.029
_cell_length_b 6.029
_cell_length_c 6.029
_cell_angle_alpha 90.00
_cell_angle_beta 90.00
_cell_angle_gamma 90.00
_space_group_name_H-M_alt 'I m -3 m'
_space_group_IT_number 229
_space_group_name_Hall '-I 4 2 3'
loop_
_atom_site_label
_atom_site_type_symbol
_atom_site_fract_x
_atom_site_fract_y
_atom_site_fract_z
_atom_site_occupancy
Ni1 Ni 0.000 0.000 0.000 1
Hg1 Hg 0.250 0.250 0.250 1
```

For the density of states at the Fermi level, the calculation gives 3.7 states/eV per cell. The value obtained for the formation energy is -2 kJ per mole of atoms.

[6]
ZnSi2Br: relaxed, GGA-PBEsol.

Cell and atoms, written as CIF:
```
data_ZnSi2Br
_chemical_formula_sum 'Zn2 Si4 Br2'
_cell_length_a 5.175
_cell_length_b 10.964
_cell_length_c 2.599
_cell_angle_alpha 90.00
_cell_angle_beta 90.00
_cell_angle_gamma 90.00
_space_group_name_H-M_alt 'C m m m'
_space_group_IT_number 65
_space_group_name_Hall '-C 2 2'
loop_
_atom_site_label
_atom_site_type_symbol
_atom_site_fract_x
_atom_site_fract_y
_atom_site_fract_z
_atom_site_occupancy
Zn1 Zn 0.000 0.000 0.000 1
Si1 Si 0.250 0.250 0.500 1
Br1 Br 0.000 0.500 0.000 1
```

For the density of states at the Fermi level, the calculation gives 4.0 states/eV per cell. The formation energy from raw total energies comes out at 0.58 eV/atom.

[7]
CdTc2W: relaxed, GGA-PBEsol.

Cell and atoms, written as CIF:
```
data_CdTc2W
_chemical_formula_sum 'Cd1 Tc2 W1'
_cell_length_a 2.847
_cell_length_b 3.877
_cell_length_c 5.767
_cell_angle_alpha 90.00
_cell_angle_beta 90.00
_cell_angle_gamma 90.00
_space_group_name_H-M_alt 'P m m m'
_space_group_IT_number 47
loop_
_space_group_symop_operation_xyz
'x,y,z'
'-x,-y,-z'
'-x,-y,z'
'x,y,-z'
'x,-y,-z'
'-x,y,z'
'-x,y,-z'
'x,-y,z'
loop_
_atom_site_label
_atom_site_type_symbol
_atom_site_fract_x
_atom_site_fract_y
_atom_site_fract_z
_atom_site_occupancy
Cd1 Cd 0.000 0.000 0.000 1
Tc1 Tc 0.500 0.500 0.287 1
W1 W 0.000 0.000 0.500 1
```

For the density of states at the Fermi level, the calculation gives 3.9 states/eV per cell. The value obtained for the formation energy is 36 kJ per mole of atoms.

[8]
NiTe4O12: relaxed, GGA-PBEsol.

Cell and atoms, written as CIF:
```
data_NiTe4O12
_chemical_formula_sum 'Ni1 Te4 O12'
_cell_length_a 5.044
_cell_length_b 5.540
_cell_length_c 7.523
_cell_angle_alpha 83.98
_cell_angle_beta 89.95
_cell_angle_gamma 89.37
_space_group_name_H-M_alt 'P 1'
_space_group_IT_number 1
loop_
_space_group_symop_operation_xyz
'x,y,z'
loop_
_atom_site_label
_atom_site_type_symbol
_atom_site_fract_x
_atom_site_fract_y
_atom_site_fract_z
_atom_site_occupancy
Ni1 Ni 0.000 0.000 0.000 1
Te1 Te 0.010 0.386 0.691 1
Te2 Te 0.023 0.395 0.216 1
Te3 Te 0.500 0.873 0.694 1
Te4 Te 0.511 0.865 0.208 1
O1 O 0.130 0.332 0.932 1
O2 O 0.178 0.016 0.239 1
O3 O 0.199 0.686 0.623 1
O4 O 0.306 0.177 0.615 1
O5 O 0.351 0.854 0.943 1
O6 O 0.370 0.545 0.265 1
O7 O 0.642 0.890 0.450 1
O8 O 0.693 0.152 0.117 1
O9 O 0.701 0.573 0.768 1
O10 O 0.816 0.060 0.765 1
O11 O 0.831 0.709 0.117 1
O12 O 0.865 0.398 0.457 1
```

For the density of states at the Fermi level, the calculation gives 2.8 states/eV per cell. The formation energy from raw total energies comes out at -0.83 eV/atom.

[9]
MgV3O8: relaxed, GGA-PBEsol.

Cell and atoms, written as CIF:
```
data_MgV3O8
_chemical_formula_sum 'Mg4 V12 O32'
_cell_length_a 7.714
_cell_length_b 8.520
_cell_length_c 10.370
_cell_angle_alpha 90.00
_cell_angle_beta 119.81
_cell_angle_gamma 90.00
_space_group_name_H-M_alt 'P 1 21/c 1'
_space_group_IT_number 14
loop_
_space_group_symop_operation_xyz
'x,y,z'
'-x,-y,-z'
'-x,y+1/2,-z+1/2'
'x,-y+1/2,z+1/2'
loop_
_atom_site_label
_atom_site_type_symbol
_atom_site_fract_x
_atom_site_fract_y
_atom_site_fract_z
_atom_site_occupancy
Mg1 Mg 0.204 0.186 0.385 1
V1 V 0.208 0.502 0.182 1
V2 V 0.234 0.679 0.898 1
V3 V 0.274 0.511 0.623 1
O1 O 0.107 0.157 0.715 1
O2 O 0.134 0.670 0.235 1
O3 O 0.183 0.504 0.003 1
O4 O 0.192 0.673 0.518 1
O5 O 0.202 0.149 0.022 1
O6 O 0.210 0.504 0.763 1
O7 O 0.461 0.015 0.798 1
O8 O 0.477 0.692 0.987 1
```

For the density of states at the Fermi level, the calculation gives 4.9 states/eV per cell. The formation energy from raw total energies comes out at -2.42 eV/atom.

[10]
KFe2Os: relaxed, GGA-PBEsol.

Cell and atoms, written as CIF:
```
data_KFe2Os
_chemical_formula_sum 'K2 Fe4 Os2'
_cell_length_a 2.576
_cell_length_b 4.947
_cell_length_c 9.985
_cell_angle_alpha 90.00
_cell_angle_beta 90.00
_cell_angle_gamma 90.00
_space_group_name_H-M_alt 'I m m 2'
_space_group_IT_number 44
loop_
_space_group_symop_operation_xyz
'x,y,z'
'-x,-y,z'
'-x,y,z'
'x,-y,z'
'x+1/2,y+1/2,z+1/2'
'-x+1/2,-y+1/2,z+1/2'
'-x+1/2,y+1/2,z+1/2'
'x+1/2,-y+1/2,z+1/2'
loop_
_atom_site_label
_atom_site_type_symbol
_atom_site_fract_x
_atom_site_fract_y
_atom_site_fract_z
_atom_site_occupancy
K1 K 0.000 0.000 0.000 1
Fe1 Fe 0.000 0.000 0.490 1
Fe2 Fe 0.000 0.500 0.784 1
Os1 Os 0.000 0.500 0.208 1
```

For the density of states at the Fermi level, the calculation gives 10.8 states/eV per cell. The value obtained for the formation energy is 111 kJ per mole of atoms.

[11]
BeAgSbTe2: relaxed, GGA-PBEsol.

Cell and atoms, written as CIF:
```
data_BeAgSbTe2
_chemical_formula_sum 'Be1 Ag1 Sb1 Te2'
_cell_length_a 5.066
_cell_length_b 5.066
_cell_length_c 4.646
_cell_angle_alpha 90.00
_cell_angle_beta 90.00
_cell_angle_gamma 90.00
_space_group_name_H-M_alt 'P 4/m m m'
_space_group_IT_number 123
_space_group_name_Hall '-P 4 2'
loop_
_atom_site_label
_atom_site_type_symbol
_atom_site_fract_x
_atom_site_fract_y
_atom_site_fract_z
_atom_site_occupancy
Be1 Be 0.000 0.000 0.000 1
Ag1 Ag 0.500 0.500 0.500 1
Sb1 Sb 0.000 0.000 0.500 1
Te1 Te 0.000 0.500 0.000 1
```

For the density of states at the Fermi level, the calculation gives 3.0 states/eV per cell. The formation energy from raw total energies comes out at 0.52 eV/atom.

[12]
Cs3SbAu: relaxed, GGA-PBEsol.

Cell and atoms, written as CIF:
```
data_Cs3SbAu
_chemical_formula_sum 'Cs3 Sb1 Au1'
_cell_length_a 6.478
_cell_length_b 6.478
_cell_length_c 6.478
_cell_angle_alpha 90.00
_cell_angle_beta 90.00
_cell_angle_gamma 90.00
_space_group_name_H-M_alt 'P m -3 m'
_space_group_IT_number 221
_space_group_name_Hall '-P 4 2 3'
loop_
_atom_site_label
_atom_site_type_symbol
_atom_site_fract_x
_atom_site_fract_y
_atom_site_fract_z
_atom_site_occupancy
Cs1 Cs 0.000 0.000 0.500 1
Sb1 Sb 0.500 0.500 0.500 1
Au1 Au 0.000 0.000 0.000 1
```

For the density of states at the Fermi level, the calculation gives 4.6 states/eV per cell. The formation energy from raw total energies comes out at -0.05 eV/atom.

no.,E_tot (eV per formula unit)
1,-104.5
2,-30.0
3,-21.6
4,-25.6
5,-8.5
6,-12.6
7,-36.0
8,-97.4
9,-101.7
10,-26.7
11,-16.3
12,-11.6